TbNd2Tl4 | PBE | optimized geometry

Geometry as extended XYZ:
```
7
Lattice="-2.0076 1.5536 -5.2391 -5.2992 0.8096 2.2706 5.4709 6.3798 3.0301" Properties=species:S:1:pos:R:3 pbc="T T T"
Tl -2.5412 5.8084 -0.5384
Tb 0.0000 0.0000 0.0000
Nd -3.2803 2.7336 -1.1670
Tl 0.7054 2.9345 0.5999
Tl -1.0038 0.7768 -2.6196
Tl -2.6496 0.4048 1.1353
Nd 1.4445 6.0094 1.2285
```

Computed properties:
M_tot: 0.00 μB/f.u.
Crystal system: tetragonal
SG: I4/mmm (139)
V: 38.390 A^3/atom
Energy of formation from the pure elements: 130 meV per atom
Distance to the lowest polymorph of the same formula: 2.53 eV per formula unit
Uncorrected energy: -3.246 eV/atom